Material: CdCuPb2C
Method: DFT, PBE
State: relaxed

a = 5.6812 Å, b = 5.6812 Å, c = 3.5733 Å
α = 90.00°, β = 90.00°, γ = 90.00°
Last column: nearest neighbours and their distance in Å.
Atoms (fractional coordinates):
1 Cd 0.0000 0.0000 0.0000  8 Pb 3.36, 2 Cd 3.57
2 Cu 0.5000 0.5000 0.5000  2 C 1.79
3 Pb 0.0000 0.5000 0.5000  2 Cu 2.84
4 Pb 0.5000 0.0000 0.5000  2 Cu 2.84
5 C 0.5000 0.5000 0.0000  2 Cu 1.79

Values from the calculation:
- energy relative to the elements (eV/atom) = 0.749
- spin magnetization (μB per formula unit) = 0.00
- DOS(E_F) (states/eV per cell) = 2.35
- E (eV per cell) = -17.90
- symmetry = P4/mmm (123)



Material: Cd2CuRhC
Method: DFT, PBE
State: relaxed

a = 4.9753 Å, b = 4.9753 Å, c = 3.5268 Å
α = 90.00°, β = 90.00°, γ = 90.00°
Last column: nearest neighbours and their distance in Å.
Atoms (fractional coordinates):
1 Cd 0.0000 0.5000 0.0000  2 Cu 2.49
2 Cd 0.5000 0.0000 0.0000  2 Cu 2.49
3 Cu 0.0000 0.0000 0.0000  2 C 1.76
4 Rh 0.5000 0.5000 0.5000  8 Cd 3.05
5 C 0.0000 0.0000 0.5000  2 Cu 1.76

Values from the calculation:
- energy relative to the elements (eV/atom) = 0.997
- spin magnetization (μB per formula unit) = 0.00
- DOS(E_F) (states/eV per cell) = 2.56
- E (eV per cell) = -17.52
- symmetry = P4/mmm (123)



Material: CdCuRuC2
Method: DFT, PBE
State: relaxed

a = 3.8123 Å, b = 3.8123 Å, c = 4.9579 Å
α = 90.00°, β = 90.00°, γ = 90.00°
Last column: nearest neighbours and their distance in Å.
Atoms (fractional coordinates):
1 Cd 0.0000 0.0000 0.0000  4 Ru 2.70
2 Cu 0.5000 0.5000 0.5000  4 C 1.91
3 Ru 0.5000 0.5000 0.0000  2 Cu 2.48, 4 Cd 2.70
4 C 0.0000 0.5000 0.5000  2 Cu 1.91
5 C 0.5000 0.0000 0.5000  2 Cu 1.91

Values from the calculation:
- energy relative to the elements (eV/atom) = 2.153
- spin magnetization (μB per formula unit) = 1.29
- DOS(E_F) (states/eV per cell) = 5.21
- E (eV per cell) = -21.97
- symmetry = P4/mmm (123)



Material: Sc2CdCuC
Method: DFT, PBE
State: relaxed

a = 4.5698 Å, b = 4.5698 Å, c = 3.9885 Å
α = 90.00°, β = 90.00°, γ = 90.00°
Last column: nearest neighbours and their distance in Å.
Atoms (fractional coordinates):
1 Sc 0.0000 0.5000 0.0000  2 C 2.28
2 Sc 0.5000 0.0000 0.0000  2 C 2.28
3 Cd 0.0000 0.0000 0.5000  8 Sc 3.03, 4 Cu 3.23
4 Cu 0.5000 0.5000 0.5000  2 C 1.99
5 C 0.5000 0.5000 0.0000  2 Cu 1.99

Values from the calculation:
- energy relative to the elements (eV/atom) = -0.220
- spin magnetization (μB per formula unit) = 0.00
- DOS(E_F) (states/eV per cell) = 3.72
- E (eV per cell) = -28.00
- symmetry = P4/mmm (123)



Material: Cd2CuSiC
Method: DFT, PBE
State: relaxed

a = 4.9819 Å, b = 4.9819 Å, c = 4.2927 Å
α = 90.00°, β = 90.00°, γ = 90.00°
Last column: nearest neighbours and their distance in Å.
Atoms (fractional coordinates):
1 Cd 0.0000 0.5000 0.0000  2 Cu 2.49
2 Cd 0.5000 0.0000 0.0000  2 Cu 2.49
3 Cu 0.0000 0.0000 0.0000  2 Si 2.15
4 Si 0.0000 0.0000 0.5000  2 Cu 2.15
5 C 0.5000 0.5000 0.5000  8 Cd 3.29, 4 Si 3.52

Values from the calculation:
- spin magnetization (μB per formula unit) = 1.94
- DOS(E_F) (states/eV per cell) = 2.94
- E (eV per cell) = -12.90
- symmetry = P4/mmm (123)



Material: VCdCuC2
Method: DFT, PBE
State: relaxed

a = 4.1693 Å, b = 4.1693 Å, c = 4.6202 Å
α = 90.00°, β = 90.00°, γ = 90.00°
Last column: nearest neighbours and their distance in Å.
Atoms (fractional coordinates):
1 V 0.0000 0.0000 0.0000  4 Cu 2.95, 8 C 3.11
2 Cd 0.5000 0.5000 0.5000  4 C 2.08, 2 Cu 2.31
3 Cu 0.5000 0.5000 0.0000  2 Cd 2.31
4 C 0.0000 0.5000 0.5000  2 Cd 2.08
5 C 0.5000 0.0000 0.5000  2 Cd 2.08

Values from the calculation:
- energy relative to the elements (eV/atom) = 2.829
- spin magnetization (μB per formula unit) = 0.00
- DOS(E_F) (states/eV per cell) = 8.06
- E (eV per cell) = -18.43
- symmetry = P4/mmm (123)